No. 1
Density functional theory data (GGA-PBE) for a relaxed Ca4ZnAg2 crystal.

```
Ca4ZnAg2
1.0
2.6089 1.5063 8.5173
-2.6089 1.5063 8.5173
0.0000 -3.0125 8.5173
Ca Zn Ag
4 1 2
Direct
0.1247 0.1247 0.1247 Ca
0.3748 0.3748 0.3748 Ca
0.6252 0.6252 0.6252 Ca
0.8753 0.8753 0.8753 Ca
0.5000 0.5000 0.5000 Zn
0.2490 0.2490 0.2490 Ag
0.7510 0.7510 0.7510 Ag
```

Calculated volume = 201 Å³ per cell
Fermi-level density of states = 1.068 states/eV/atom
Total energy = -16.47 eV/cell
E_form = -212 meV per atom

=====

No. 2
Density functional theory data (GGA-PBE) for a relaxed Mg2TlZn2 crystal.

```
Mg2TlZn2
1.0
8.1392 0.0000 0.0000
0.0000 8.1392 0.0000
0.0000 0.0000 3.2319
Mg Tl Zn
4 2 4
Direct
0.1350 0.3650 0.0000 Mg
0.3650 0.8650 0.0000 Mg
0.6350 0.1350 0.0000 Mg
0.8650 0.6350 0.0000 Mg
0.0000 0.0000 0.0000 Tl
0.5000 0.5000 0.0000 Tl
0.1616 0.6616 0.5000 Zn
0.3384 0.1616 0.5000 Zn
0.6616 0.8384 0.5000 Zn
0.8384 0.3384 0.5000 Zn
```

Energy relative to the lowest polymorph listed for this composition = 0.281 eV per formula unit
Calculated volume = 214 Å³ per cell
Fermi-level density of states = 0.404 states/eV/atom
Total energy = -15.78 eV/cell
E_form = 43 meV per atom

=====

No. 3
Density functional theory data (GGA-PBE) for a relaxed Rb2BeAlBr6 crystal.

```
Rb2BeAlBr6
1.0
-3.6809 3.6809 5.2684
3.6809 -3.6809 5.2684
3.6809 3.6809 -5.2684
Rb Be Al Br
2 1 1 6
Direct
0.2500 0.7500 0.5000 Rb
0.7500 0.2500 0.5000 Rb
0.0000 0.0000 0.0000 Be
0.5000 0.5000 0.0000 Al
0.2412 0.2412 0.4823 Br
0.2412 0.7588 0.0000 Br
0.2457 0.2457 0.0000 Br
0.7543 0.7543 0.0000 Br
0.7588 0.2412 0.0000 Br
0.7588 0.7588 0.5177 Br
```

Calculated volume = 286 Å³ per cell
Fermi-level density of states = 0.166 states/eV/atom
Energy relative to the elements, uncorrected = -1081 meV per atom
Total energy = -30.25 eV/cell

=====

No. 4
Density functional theory data (GGA-PBE) for a relaxed CaY3Rh crystal.

```
CaY3Rh
1.0
5.4725 0.0000 0.0000
0.0000 5.4725 0.0000
0.0000 0.0000 5.4725
Ca Y Rh
1 3 1
Direct
0.0000 0.0000 0.0000 Ca
0.0000 0.5000 0.5000 Y
0.5000 0.0000 0.5000 Y
0.5000 0.5000 0.0000 Y
0.5000 0.5000 0.5000 Rh
```

Energy relative to the lowest polymorph listed for this composition = 0.000 eV per formula unit
Calculated volume = 164 Å³ per cell
Fermi-level density of states = 1.733 states/eV/atom
Total energy = -30.21 eV/cell
E_form = -293 meV per atom

=====

No. 5
Density functional theory data (GGA-PBE) for a relaxed CdAgP2O crystal.

```
CdAgP2O
1.0
4.9567 0.0000 0.0000
0.0000 4.9567 0.0000
0.0000 0.0000 3.9548
Cd Ag P O
1 1 2 1
Direct
0.0000 0.0000 0.0000 Cd
0.5000 0.5000 0.5000 Ag
0.0000 0.5000 0.5000 P
0.5000 0.0000 0.5000 P
0.5000 0.5000 0.0000 O
```

Energy relative to the lowest polymorph listed for this composition = 0.000 eV per formula unit
Calculated volume = 97 Å³ per cell
Fermi-level density of states = 0.991 states/eV/atom
Energy relative to the elements, uncorrected = 790 meV per atom
Total energy = -15.60 eV/cell

=====

No. 6
Density functional theory data (GGA-PBE) for a relaxed Ta2Be2Co crystal.

```
Ta2Be2Co
1.0
6.9035 0.0000 0.0000
0.0000 6.9035 0.0000
0.0000 0.0000 2.8700
Ta Be Co
4 4 2
Direct
0.1827 0.3173 0.0000 Ta
0.3173 0.8173 0.0000 Ta
0.6827 0.1827 0.0000 Ta
0.8173 0.6827 0.0000 Ta
0.1073 0.6073 0.5000 Be
0.3927 0.1073 0.5000 Be
0.6073 0.8927 0.5000 Be
0.8927 0.3927 0.5000 Be
0.0000 0.0000 0.0000 Co
0.5000 0.5000 0.0000 Co
```

Energy relative to the lowest polymorph listed for this composition = 3.626 eV per formula unit
Calculated volume = 137 Å³ per cell
Fermi-level density of states = 1.005 states/eV/atom
Total energy = -71.73 eV/cell
E_form = 480 meV per atom

=====

Q: Number 3 is which compound?
A: Rb2BeAlBr6

=====

Q: Fermi-level density of states of number 3 (Rb2BeAlBr6)?
A: 0.166 states/eV/atom

=====

Q: Among the records above, which one has the highest total energy?
A: CdAgP2O